# 1
# MnSnS2 (PBE, optimized geometry)
# * ΔE_f (raw): -0.450 eV per atom
# * volume: 20.01 A^3/atom
# * size of the total moment: 7.06 μB per cell
data_MnSnS2
_space_group_name_H-M_alt 'R -3 m'
_space_group_IT_number 166
_space_group_name_Hall '-R 3 2"'
_cell_length_a 3.3465
_cell_length_b 3.3465
_cell_length_c 24.7637
_cell_angle_alpha 90.00
_cell_angle_beta 90.00
_cell_angle_gamma 120.00
loop_
_atom_site_label
_atom_site_fract_x
_atom_site_fract_y
_atom_site_fract_z
_atom_site_occupancy
Mn1 0.0000 0.0000 0.0000 1
Sn1 0.0000 0.0000 0.5000 1
S1 0.0000 0.0000 0.3856 1


# 2
# Mn3SnS (PBE, optimized geometry)
# * ΔE_f (raw): 1.768 eV per atom
# * volume: 48.08 A^3/atom
# * size of the total moment: 15.14 μB per cell
data_Mn3SnS
_space_group_name_H-M_alt 'P m -3 m'
_space_group_IT_number 221
_space_group_name_Hall '-P 4 2 3'
_cell_length_a 6.218
_cell_length_b 6.218
_cell_length_c 6.218
_cell_angle_alpha 90.00
_cell_angle_beta 90.00
_cell_angle_gamma 90.00
loop_
_atom_site_label
_atom_site_fract_x
_atom_site_fract_y
_atom_site_fract_z
_atom_site_occupancy
Mn1 0.000 0.000 0.500 1
Sn1 0.000 0.000 0.000 1
S1 0.500 0.500 0.500 1


# 3
# MnSnS3 (PBE, optimized geometry)
# * ΔE_f (raw): -0.364 eV per atom
# * offset from the most stable computed form: 41 meV/atom
# * volume: 24.96 A^3/atom
# * size of the total moment: 6.03 μB per cell
data_MnSnS3
_space_group_name_H-M_alt 'P 1 21/m 1'
_space_group_IT_number 11
_cell_length_a 7.305
_cell_length_b 3.529
_cell_length_c 10.205
_cell_angle_alpha 90.00
_cell_angle_beta 108.45
_cell_angle_gamma 90.00
loop_
_space_group_symop_operation_xyz
'x,y,z'
'-x,-y,-z'
'-x,y+1/2,-z'
'x,-y+1/2,z'
loop_
_atom_site_label
_atom_site_fract_x
_atom_site_fract_y
_atom_site_fract_z
_atom_site_occupancy
Mn1 0.130 0.250 0.154 1
Sn1 0.207 0.250 0.673 1
S1 0.071 0.250 0.372 1
S2 0.106 0.250 0.916 1
S3 0.342 0.750 0.210 1


# 4
# MnSn2S4 (PBE, optimized geometry)
# * ΔE_f (raw): -0.245 eV per atom
# * volume: 21.27 A^3/atom
# * size of the total moment: 6.24 μB per cell
data_MnSn2S4
_space_group_name_H-M_alt 'I 4/m m m'
_space_group_IT_number 139
_space_group_name_Hall '-I 4 2'
_cell_length_a 4.548
_cell_length_b 4.548
_cell_length_c 14.394
_cell_angle_alpha 90.00
_cell_angle_beta 90.00
_cell_angle_gamma 90.00
loop_
_atom_site_label
_atom_site_fract_x
_atom_site_fract_y
_atom_site_fract_z
_atom_site_occupancy
Mn1 0.000 0.000 0.000 1
Sn1 0.000 0.000 0.357 1
S1 0.000 0.000 0.168 1
S2 0.000 0.500 0.000 1


# 5
# MnSnS4 (PBE, optimized geometry)
# * ΔE_f (raw): -0.417 eV per atom
# * volume: 23.44 A^3/atom
# * size of the total moment: 2.98 μB per cell
data_MnSnS4
_space_group_name_H-M_alt 'P 1 2/m 1'
_space_group_IT_number 10
_cell_length_a 6.190
_cell_length_b 3.542
_cell_length_c 6.416
_cell_angle_alpha 90.00
_cell_angle_beta 90.88
_cell_angle_gamma 90.00
loop_
_space_group_symop_operation_xyz
'x,y,z'
'-x,-y,-z'
'-x,y,-z'
'x,-y,z'
loop_
_atom_site_label
_atom_site_fract_x
_atom_site_fract_y
_atom_site_fract_z
_atom_site_occupancy
Mn1 0.000 0.000 0.000 1
Sn1 0.500 0.500 0.000 1
S1 0.139 0.500 0.793 1
S2 0.312 0.000 0.221 1


# 6
# Mn2SnS4 (PBE, optimized geometry)
# * ΔE_f (raw): -0.482 eV per atom
# * offset from the most stable computed form: 0 meV/atom
# * volume: 20.75 A^3/atom
# * size of the total moment: 8.02 μB per cell
data_Mn2SnS4
_space_group_name_H-M_alt 'P 1 2/m 1'
_space_group_IT_number 10
_cell_length_a 6.172
_cell_length_b 3.622
_cell_length_c 6.784
_cell_angle_alpha 90.00
_cell_angle_beta 106.70
_cell_angle_gamma 90.00
loop_
_space_group_symop_operation_xyz
'x,y,z'
'-x,-y,-z'
'-x,y,-z'
'x,-y,z'
loop_
_atom_site_label
_atom_site_fract_x
_atom_site_fract_y
_atom_site_fract_z
_atom_site_occupancy
Mn1 0.000 0.000 0.000 1
Mn2 0.500 0.500 0.000 1
Sn1 0.000 0.500 0.500 1
S1 0.226 0.500 0.198 1
S2 0.262 0.000 0.783 1